Compound: Tb4YS7
Source: Alexandria via LeMat-Bulk
Functional: PBE
Structure: relaxed

Values from the calculation:
- Uncorrected formation energy: -2.08 eV/atom
- Mass density: 5.655 Mg/m³
- Total DFT energy (no corrections): -78.84 eV/f.u.

a b c (Å): 12.921 3.827 11.652
angles (deg): 90.00 104.66 90.00
Space group Cm (No. 8)
Symmetry-distinct sites (fractional):
Tb 0.000 0.000 0.000
Tb 0.088 0.500 0.390
Tb 0.189 0.000 0.767
Tb 0.388 0.500 0.578
Y 0.276 0.500 0.157
S 0.048 0.500 0.630
S 0.129 0.500 0.931
S 0.148 0.000 0.226
S 0.229 0.000 0.527
S 0.347 0.500 0.794
S 0.388 0.000 0.079
S 0.430 0.500 0.363